# NbTlGa3 GGA-PBE optimized geometry
data_NbTlGa3
_chemical_formula_sum 'Nb1 Tl1 Ga3'
_symmetry_space_group_name_H-M 'P m -3 m'
_symmetry_Int_Tables_number 221
_symmetry_space_group_name_Hall '-P 4 2 3'
_cell_length_a 5.129
_cell_length_b 5.129
_cell_length_c 5.129
_cell_angle_alpha 90.00
_cell_angle_beta 90.00
_cell_angle_gamma 90.00
loop_
_atom_site_label
_atom_site_type_symbol
_atom_site_fract_x
_atom_site_fract_y
_atom_site_fract_z
Nb1 Nb 0.000 0.000 0.000
Tl1 Tl 0.500 0.500 0.500
Ga1 Ga 0.000 0.000 0.500
# offset from the most stable computed form = 0 meV per atom
# D(E_F) = 0.66 states/eV per atom
# energy of formation = 0.338 eV per atom
# total energy = -3.966 eV per atom

---

# Mg4CdPdRh2 GGA-PBE optimized geometry
data_Mg4CdPdRh2
_chemical_formula_sum 'Mg12 Cd3 Pd3 Rh6'
_symmetry_space_group_name_H-M 'R -3 m'
_symmetry_Int_Tables_number 166
_symmetry_space_group_name_Hall '-R 3 2"'
_cell_length_a 4.5334
_cell_length_b 4.5334
_cell_length_c 22.2434
_cell_angle_alpha 90.00
_cell_angle_beta 90.00
_cell_angle_gamma 120.00
loop_
_atom_site_label
_atom_site_type_symbol
_atom_site_fract_x
_atom_site_fract_y
_atom_site_fract_z
Mg1 Mg 0.0000 0.0000 0.1196
Mg2 Mg 0.0000 0.0000 0.3699
Cd1 Cd 0.0000 0.0000 0.5000
Pd1 Pd 0.0000 0.0000 0.0000
Rh1 Rh 0.0000 0.0000 0.2468
# D(E_F) = 0.52 states/eV per atom
# energy of formation = -0.476 eV per atom
# total energy = -3.875 eV per atom

---

# LiSc2Br6 GGA-PBE optimized geometry
data_LiSc2Br6
_chemical_formula_sum 'Li2 Sc4 Br12'
_symmetry_space_group_name_H-M 'C 1 2/m 1'
_symmetry_Int_Tables_number 12
_symmetry_space_group_name_Hall '-C 2y'
_cell_length_a 14.551
_cell_length_b 5.448
_cell_length_c 7.841
_cell_angle_alpha 90.00
_cell_angle_beta 94.52
_cell_angle_gamma 90.00
loop_
_atom_site_label
_atom_site_type_symbol
_atom_site_fract_x
_atom_site_fract_y
_atom_site_fract_z
Li1 Li 0.000 0.000 0.000
Sc1 Sc 0.242 0.000 0.657
Br1 Br 0.073 0.000 0.720
Br2 Br 0.115 0.500 0.135
Br3 Br 0.239 0.500 0.677
# formation energy without anion corrections = -1.469 eV per atom
# offset from the most stable computed form = 120 meV per atom
# D(E_F) = 0.01 states/eV per atom
# total energy = -4.204 eV per atom

---

# Pa2TcBi GGA-PBE optimized geometry
data_Pa2TcBi
_chemical_formula_sum 'Pa4 Tc2 Bi2'
_symmetry_space_group_name_H-M 'C m m m'
_symmetry_Int_Tables_number 65
_symmetry_space_group_name_Hall '-C 2 2'
_cell_length_a 4.399
_cell_length_b 4.938
_cell_length_c 8.766
_cell_angle_alpha 90.00
_cell_angle_beta 90.00
_cell_angle_gamma 90.00
loop_
_atom_site_label
_atom_site_type_symbol
_atom_site_fract_x
_atom_site_fract_y
_atom_site_fract_z
Pa1 Pa 0.000 0.000 0.209
Tc1 Tc 0.000 0.500 0.000
Bi1 Bi 0.000 0.500 0.500
# offset from the most stable computed form = 0 meV per atom
# D(E_F) = 1.42 states/eV per atom
# energy of formation = -0.211 eV per atom
# total energy = -8.521 eV per atom

---

# TbYHo3Tm GGA-PBE optimized geometry
data_TbYHo3Tm
_chemical_formula_sum 'Tb4 Y4 Ho12 Tm4'
_symmetry_space_group_name_H-M 'C 1 2/m 1'
_symmetry_Int_Tables_number 12
_symmetry_space_group_name_Hall '-C 2y'
_cell_length_a 21.971
_cell_length_b 5.387
_cell_length_c 6.745
_cell_angle_alpha 90.00
_cell_angle_beta 98.31
_cell_angle_gamma 90.00
loop_
_atom_site_label
_atom_site_type_symbol
_atom_site_fract_x
_atom_site_fract_y
_atom_site_fract_z
Tb1 Tb 0.166 0.000 0.026
Y1 Y 0.131 0.000 0.467
Ho1 Ho 0.025 0.000 0.774
Ho2 Ho 0.168 0.500 0.770
Ho3 Ho 0.225 0.500 0.310
Tm1 Tm 0.073 0.500 0.154
# D(E_F) = 1.74 states/eV per atom
# energy of formation = 0.215 eV per atom
# total energy = -4.668 eV per atom

---

# SrAcP GGA-PBE optimized geometry
data_SrAcP
_chemical_formula_sum 'Sr1 Ac1 P1'
_symmetry_space_group_name_H-M 'P 3 m 1'
_symmetry_Int_Tables_number 156
_symmetry_space_group_name_Hall 'P 3 -2"'
_cell_length_a 4.3541
_cell_length_b 4.3541
_cell_length_c 7.3005
_cell_angle_alpha 90.00
_cell_angle_beta 90.00
_cell_angle_gamma 120.00
loop_
_atom_site_label
_atom_site_type_symbol
_atom_site_fract_x
_atom_site_fract_y
_atom_site_fract_z
Sr1 Sr 0.0000 0.0000 0.0000
Ac1 Ac 0.3333 0.6667 0.4720
P1 P 0.6667 0.3333 0.2483
# offset from the most stable computed form = 0 meV per atom
# D(E_F) = 0.82 states/eV per atom
# energy of formation = -0.837 eV per atom
# total energy = -4.570 eV per atom

---

# AlPCl2F GGA-PBE optimized geometry
data_AlPCl2F
_chemical_formula_sum 'Al1 P1 Cl2 F1'
_symmetry_space_group_name_H-M 'P 4/m m m'
_symmetry_Int_Tables_number 123
_symmetry_space_group_name_Hall '-P 4 2'
_cell_length_a 4.971
_cell_length_b 4.971
_cell_length_c 3.769
_cell_angle_alpha 90.00
_cell_angle_beta 90.00
_cell_angle_gamma 90.00
loop_
_atom_site_label
_atom_site_type_symbol
_atom_site_fract_x
_atom_site_fract_y
_atom_site_fract_z
Al1 Al 0.000 0.000 0.000
P1 P 0.500 0.500 0.500
Cl1 Cl 0.000 0.500 0.000
F1 F 0.000 0.000 0.500
# formation energy without anion corrections = -0.654 eV per atom
# offset from the most stable computed form = 0 meV per atom
# D(E_F) = 0.56 states/eV per atom
# total energy = -3.597 eV per atom

---

# RbPuCuO6 GGA-PBE optimized geometry
data_RbPuCuO6
_chemical_formula_sum 'Rb2 Pu2 Cu2 O12'
_symmetry_space_group_name_H-M 'C 1 2 1'
_symmetry_Int_Tables_number 5
_symmetry_space_group_name_Hall 'C 2y'
_cell_length_a 5.776
_cell_length_b 8.814
_cell_length_c 6.304
_cell_angle_alpha 90.00
_cell_angle_beta 94.38
_cell_angle_gamma 90.00
loop_
_atom_site_label
_atom_site_type_symbol
_atom_site_fract_x
_atom_site_fract_y
_atom_site_fract_z
Rb1 Rb 0.000 0.000 0.000
Pu1 Pu 0.000 0.631 0.500
Cu1 Cu 0.000 0.295 0.500
O1 O 0.114 0.455 0.679
O2 O 0.144 0.753 0.714
O3 O 0.189 0.157 0.647
# formation energy without anion corrections = -1.505 eV per atom
# total energy = -6.966 eV per atom

---

# NaUSe3 GGA-PBE optimized geometry
data_NaUSe3
_chemical_formula_sum 'Na6 U6 Se18'
_symmetry_space_group_name_H-M 'R 3 2'
_symmetry_Int_Tables_number 155
_symmetry_space_group_name_Hall 'R 3 2"'
_cell_length_a 7.0966
_cell_length_b 7.0966
_cell_length_c 21.1097
_cell_angle_alpha 90.00
_cell_angle_beta 90.00
_cell_angle_gamma 120.00
loop_
_atom_site_label
_atom_site_type_symbol
_atom_site_fract_x
_atom_site_fract_y
_atom_site_fract_z
Na1 Na 0.0000 0.0000 0.1365
U1 U 0.0000 0.0000 0.3342
Se1 Se 0.0016 0.4078 0.9175
# formation energy without anion corrections = -0.992 eV per atom
# offset from the most stable computed form = 0 meV per atom
# D(E_F) = 1.00 states/eV per atom
# total energy = -5.604 eV per atom

---

# GdErBi GGA-PBE optimized geometry
data_GdErBi
_chemical_formula_sum 'Gd1 Er1 Bi1'
_symmetry_space_group_name_H-M 'P 3 m 1'
_symmetry_Int_Tables_number 156
_symmetry_space_group_name_Hall 'P 3 -2"'
_cell_length_a 5.2596
_cell_length_b 5.2596
_cell_length_c 3.8645
_cell_angle_alpha 90.00
_cell_angle_beta 90.00
_cell_angle_gamma 120.00
loop_
_atom_site_label
_atom_site_type_symbol
_atom_site_fract_x
_atom_site_fract_y
_atom_site_fract_z
Gd1 Gd 0.0000 0.0000 0.0000
Er1 Er 0.3333 0.6667 0.4639
Bi1 Bi 0.6667 0.3333 0.6946
# offset from the most stable computed form = 212 meV per atom
# D(E_F) = 1.22 states/eV per atom
# energy of formation = -0.278 eV per atom
# total energy = -7.786 eV per atom

---

# TbGdDyY GGA-PBE optimized geometry
data_TbGdDyY
_chemical_formula_sum 'Tb4 Gd4 Dy4 Y4'
_symmetry_space_group_name_H-M 'F -4 3 m'
_symmetry_Int_Tables_number 216
_symmetry_space_group_name_Hall 'F -4 2 3'
_cell_length_a 8.039
_cell_length_b 8.039
_cell_length_c 8.039
_cell_angle_alpha 90.00
_cell_angle_beta 90.00
_cell_angle_gamma 90.00
loop_
_atom_site_label
_atom_site_type_symbol
_atom_site_fract_x
_atom_site_fract_y
_atom_site_fract_z
Tb1 Tb 0.000 0.000 0.000
Gd1 Gd 0.000 0.000 0.500
Dy1 Dy 0.250 0.250 0.250
Y1 Y 0.250 0.250 0.750
# D(E_F) = 2.07 states/eV per atom
# energy of formation = 0.118 eV per atom
# total energy = -7.326 eV per atom

---

# CaVCu2Os GGA-PBE optimized geometry
data_CaVCu2Os
_chemical_formula_sum 'Ca1 V1 Cu2 Os1'
_symmetry_space_group_name_H-M 'P 4/m m m'
_symmetry_Int_Tables_number 123
_symmetry_space_group_name_Hall '-P 4 2'
_cell_length_a 4.409
_cell_length_b 4.409
_cell_length_c 4.487
_cell_angle_alpha 90.00
_cell_angle_beta 90.00
_cell_angle_gamma 90.00
loop_
_atom_site_label
_atom_site_type_symbol
_atom_site_fract_x
_atom_site_fract_y
_atom_site_fract_z
Ca1 Ca 0.000 0.000 0.000
V1 V 0.000 0.000 0.500
Cu1 Cu 0.000 0.500 0.000
Os1 Os 0.500 0.500 0.500
# D(E_F) = 1.07 states/eV per atom
# energy of formation = 2.200 eV per atom
# total energy = -3.909 eV per atom

---

> Which formula does entry 6 have?

SrAcP